[1]
# Tl2ZnHgF6 (PBE, optimized geometry)
data_Tl2ZnHgF6
_chemical_formula_sum 'Tl4 Zn2 Hg2 F12'
_cell_length_a 6.1875
_cell_length_b 6.2395
_cell_length_c 8.7877
_cell_angle_alpha 90.00
_cell_angle_beta 90.00
_cell_angle_gamma 90.00
_symmetry_space_group_name_H-M 'P 1'
_symmetry_Int_Tables_number 1
loop_
_symmetry_equiv_pos_as_xyz
'x,y,z'
loop_
_atom_site_label
_atom_site_type_symbol
_atom_site_fract_x
_atom_site_fract_y
_atom_site_fract_z
_atom_site_occupancy
F1 F 0.7634 0.5233 0.0000 1
F2 F 0.7367 0.0116 0.5000 1
Tl1 Tl 0.0000 0.2407 0.7474 1
F3 F 0.5000 0.2364 0.7346 1
F4 F 0.2367 0.9884 0.0000 1
F5 F 0.0000 0.7636 0.2346 1
Zn1 Zn 0.5000 0.2459 0.5000 1
Hg1 Hg 0.5000 0.2579 0.0000 1
Zn2 Zn 0.0000 0.7541 0.0000 1
F6 F 0.7633 0.9884 0.0000 1
F7 F 0.0000 0.7636 0.7654 1
F8 F 0.5000 0.2364 0.2654 1
Tl2 Tl 0.0000 0.2407 0.2526 1
F9 F 0.2633 0.0116 0.5000 1
Tl3 Tl 0.5000 0.7593 0.7526 1
Hg2 Hg 0.0000 0.7421 0.5000 1
Tl4 Tl 0.5000 0.7593 0.2474 1
F10 F 0.2634 0.4767 0.5000 1
F11 F 0.2366 0.5233 0.0000 1
F12 F 0.7366 0.4767 0.5000 1
# Symmetry: Pmmn (59)
# Raw formation energy, meV per atom: -1849

[2]
# HfZn2NiW (PBE, optimized geometry)
data_HfZn2NiW
_chemical_formula_sum 'Hf1 Zn2 Ni1 W1'
_cell_length_a 4.9998
_cell_length_b 4.7995
_cell_length_c 4.9998
_cell_angle_alpha 90.00
_cell_angle_beta 90.00
_cell_angle_gamma 90.00
_symmetry_space_group_name_H-M 'P 1'
_symmetry_Int_Tables_number 1
loop_
_symmetry_equiv_pos_as_xyz
'x,y,z'
loop_
_atom_site_label
_atom_site_type_symbol
_atom_site_fract_x
_atom_site_fract_y
_atom_site_fract_z
_atom_site_occupancy
Zn1 Zn 0.0000 0.0000 0.5000 1
Zn2 Zn 0.5000 0.0000 0.0000 1
W1 W 0.0000 0.5000 0.0000 1
Ni1 Ni 0.5000 0.5000 0.5000 1
Hf1 Hf 0.0000 0.0000 0.0000 1
# Symmetry: P4/mmm (123)
# Energy of formation, eV/atom: 1.93

[3]
# U4Co12Si3Os (PBE, optimized geometry)
data_U4Co12Si3Os
_chemical_formula_sum 'U4 Co12 Si3 Os1'
_cell_length_a 7.4544
_cell_length_b 7.4544
_cell_length_c 7.4544
_cell_angle_alpha 109.47
_cell_angle_beta 109.47
_cell_angle_gamma 109.47
_symmetry_space_group_name_H-M 'P 1'
_symmetry_Int_Tables_number 1
loop_
_symmetry_equiv_pos_as_xyz
'x,y,z'
loop_
_atom_site_label
_atom_site_type_symbol
_atom_site_fract_x
_atom_site_fract_y
_atom_site_fract_z
_atom_site_occupancy
Co1 Co 0.5000 0.2500 0.7500 1
Si1 Si 0.0000 0.5000 0.5000 1
U1 U 0.5000 0.5000 0.5000 1
Co2 Co 0.2500 0.5000 0.7500 1
Co3 Co 0.2604 0.2604 0.0000 1
Co4 Co 0.0000 0.7396 0.7396 1
U2 U 0.5000 0.0000 0.0000 1
U3 U 0.0000 0.5000 0.0000 1
Co5 Co 0.7396 0.7396 0.0000 1
Co6 Co 0.2500 0.7500 0.5000 1
Co7 Co 0.7396 0.0000 0.7396 1
Co8 Co 0.5000 0.7500 0.2500 1
Os1 Os 0.0000 0.0000 0.0000 1
Si2 Si 0.5000 0.0000 0.5000 1
Co9 Co 0.0000 0.2604 0.2604 1
Si3 Si 0.5000 0.5000 0.0000 1
Co10 Co 0.2604 0.0000 0.2604 1
Co11 Co 0.7500 0.5000 0.2500 1
Co12 Co 0.7500 0.2500 0.5000 1
U4 U 0.0000 0.0000 0.5000 1
# Symmetry: Im-3m (229)
# Raw formation energy, meV per atom: 354